Entry 1:
Entry from Alexandria via LeMat-Bulk: a geometry-optimized AlSnOs2Au structure (GGA-PBEsol).

Calculated values
Calculated total energy (eV per cell): -28.502
M_tot (μB/atom): 0.19

Lattice parameters (Å, degrees): 4.455 4.455 4.818 90.00 90.00 90.00
Element x y z (fractional)
Al: 0.000 0.000 0.000
Sn: 0.000 0.000 0.500
Os: 0.000 0.500 0.000
Os: 0.500 0.000 0.000
Au: 0.500 0.500 0.500

=====

Entry 2:
Entry from Alexandria via LeMat-Bulk: a geometry-optimized AlPAu2 structure (GGA-PBEsol).

Calculated values
Calculated total energy (eV per cell): -17.999
M_tot (μB/atom): 0.00
Energy above the lowest structure with this stoichiometry (meV per atom): 0

Lattice parameters (Å, degrees): 3.879 3.879 4.498 90.00 90.00 90.24
Element x y z (fractional)
Al: 0.000 0.000 0.000
P: 0.500 0.500 0.000
Au: 0.248 0.752 0.500
Au: 0.752 0.248 0.500

=====

Entry 3:
Entry from Alexandria via LeMat-Bulk: a geometry-optimized AlPAu2 structure (GGA-PBEsol).

Calculated values
Calculated total energy (eV per cell): -17.176
M_tot (μB/atom): 0.00
Energy above the lowest structure with this stoichiometry (meV per atom): 206

Lattice parameters (Å, degrees): 4.535 4.535 4.535 60.00 60.00 60.00
Element x y z (fractional)
Al: 0.000 0.000 0.000
P: 0.750 0.750 0.750
Au: 0.250 0.250 0.250
Au: 0.500 0.500 0.500

=====

Record order is preserved below.
Energy of formation from the pure elements: 1641 -67 139 meV/atom